Sm5PuIn3 | the Alexandria database | GGA-PBE | optimized geometry; symmetry = P6_3/mcm (193); total magnetic moment = 12.98 Bohr magnetons per cell; density of states at the Fermi level = 25.1 states/eV per cell; density = 8.43 Mg/m³; electronic total energy = -5.445 eV per atom
1.0
6.7501 0.0000 0.0000
0.0000 8.2321 -4.7529
0.0000 0.0000 9.5056
Pu Sm In
2 10 6
Cartesian
0.0000 0.0000 0.0000
3.3751 0.0000 0.0000
0.0000 5.4880 -0.0001
5.0626 8.2319 -1.7341
5.0626 2.6144 -1.5095
3.3751 5.4880 -0.0001
1.6875 0.0003 6.4867
3.3751 2.7441 4.7528
1.6875 5.6176 -3.2434
0.0000 2.7441 4.7528
1.6875 2.6145 1.5092
5.0626 5.6176 3.2435
5.0626 2.8461 1.6435
5.0626 8.2318 1.4662
5.0626 5.3860 -3.1096
1.6875 2.8461 -1.6432
1.6875 0.0003 3.2865
1.6875 5.3860 3.1092

---

TbGaCuPd | the Alexandria database | GGA-PBE | optimized geometry; symmetry = R3m (160); total magnetic moment = 0.00 Bohr magnetons per cell; density of states at the Fermi level = 2.7 states/eV per cell; density = 8.93 Mg/m³; electronic total energy = -4.820 eV per atom
1.0
4.3776 0.0000 0.0000
-2.1888 3.7914 0.0000
0.0000 -2.5215 4.4656
Pd Tb Cu Ga
1 1 1 1
Cartesian
2.1888 2.1698 0.6307
2.1888 -0.3561 2.2021
0.0000 0.9090 3.8347
0.0000 -1.6168 4.3506

---

ErTmSc2 | the Alexandria database | GGA-PBE | optimized geometry; symmetry = R3m (160); total magnetic moment = 0.01 Bohr magnetons per cell; density of states at the Fermi level = 7.2 states/eV per cell; density = 6.46 Mg/m³; electronic total energy = -5.383 eV per atom; relative energy among the computed polymorphs = 0.0000 eV/atom
1.0
3.4167 0.0000 0.0000
1.7084 2.9590 0.0000
1.7084 0.9863 10.8290
Sc Tm Er
2 1 1
Cartesian
1.7084 0.9863 2.7280
1.7084 0.9863 8.1017
3.4167 1.9726 5.4007
3.4167 1.9726 0.0131

---

TbPmRu | the Alexandria database | GGA-PBE | optimized geometry; symmetry = P4/nmm (129); total magnetic moment = 0.00 Bohr magnetons per cell; density of states at the Fermi level = 4.1 states/eV per cell; density = 8.76 Mg/m³; electronic total energy = -6.422 eV per atom; relative energy among the computed polymorphs = 0.0463 eV/atom
1.0
-2.1373 -2.8474 2.9898
-1.9826 -2.2454 -3.5556
5.5313 -4.4438 -0.2779
Pm Ru Tb
2 2 2
Cartesian
-0.4040 -1.9577 1.4615
3.8754 -5.0325 -2.0224
0.4394 -2.2721 -1.8497
3.0320 -4.7181 1.2889
0.7057 -4.7683 -0.4219
2.7657 -2.2219 -0.1390

---

TlCd12 | the Alexandria database | GGA-PBE | optimized geometry; symmetry = Fm-3m (225); total magnetic moment = 0.00 Bohr magnetons per cell; density of states at the Fermi level = 5.5 states/eV per cell; density = 5.75 Mg/m³; electronic total energy = -0.743 eV per atom; relative energy among the computed polymorphs = 0.2542 eV/atom
1.0
8.5906 0.0000 0.0000
4.2953 7.4397 0.0000
4.2953 2.4799 7.0142
Cd Tl
12 1
Cartesian
7.1295 7.4906 3.5071
10.0518 2.4290 3.5071
10.0518 4.1162 1.1211
10.0518 5.8034 5.8931
7.1295 4.1162 1.1211
5.6683 4.9598 3.5071
8.5906 3.2726 5.8931
10.0518 7.4906 3.5071
11.5129 4.9598 3.5071
7.1295 2.4290 3.5071
7.1295 5.8034 5.8931
8.5906 6.6470 1.1211
0.0000 0.0000 0.0000

---

TaAs2Pd | the Alexandria database | GGA-PBE | optimized geometry; symmetry = Fm-3m (225); total magnetic moment = 0.00 Bohr magnetons per cell; density of states at the Fermi level = 2.1 states/eV per cell; density = 10.88 Mg/m³; electronic total energy = -6.688 eV per atom
1.0
-3.7977 -0.5940 -2.4392
-3.6680 2.5627 0.8385
-1.2972 3.1686 -3.0004
Pd Ta As
1 1 2
Cartesian
0.0000 0.0000 0.0000
-4.3815 2.5687 -2.3005
-2.1907 1.2843 -1.1503
-6.5722 3.8530 -3.4508

---

LiRu2 | the Alexandria database | GGA-PBE | optimized geometry; symmetry = I4/mcm (140); total magnetic moment = 0.00 Bohr magnetons per cell; density of states at the Fermi level = 5.5 states/eV per cell; density = 9.26 Mg/m³; electronic total energy = -6.482 eV per atom
1.0
-2.5113 -2.5419 3.0328
-1.0106 4.3970 -1.2691
-0.5611 -2.3635 -4.0081
Li Ru
2 4
Cartesian
-0.8805 0.4638 0.4409
-2.6414 1.3914 1.3228
-1.3133 -1.4221 -1.1266
-2.6073 -1.0986 1.3229
-2.7696 0.9137 -1.1177
-1.4756 0.5902 -3.5672

---

LaTlAu2 | the Alexandria database | GGA-PBE | optimized geometry; symmetry = Fm-3m (225); total magnetic moment = 0.00 Bohr magnetons per cell; density of states at the Fermi level = 2.3 states/eV per cell; density = 12.48 Mg/m³; electronic total energy = -4.071 eV per atom; relative energy among the computed polymorphs = 0.0000 eV/atom
1.0
0.0000 3.6607 3.6607
3.6607 0.0000 3.6607
3.6607 3.6607 0.0000
Au La Tl
2 1 1
Cartesian
1.8304 1.8304 1.8304
5.4911 5.4911 5.4911
0.0000 0.0000 0.0000
3.6607 3.6607 3.6607

---

DyPuC | the Alexandria database | GGA-PBE | optimized geometry; symmetry = Cmcm (63); total magnetic moment = 0.00 Bohr magnetons per cell; density of states at the Fermi level = 5.9 states/eV per cell; density = 12.44 Mg/m³; electronic total energy = -9.272 eV per atom; relative energy among the computed polymorphs = 0.1970 eV/atom
1.0
3.3832 0.0000 0.0000
0.0000 3.3699 0.0000
0.0000 1.6849 9.7991
C Dy Pu
2 2 2
Cartesian
2.5374 1.6849 2.3734
0.8458 3.3699 7.4257
0.8458 3.3699 1.8944
2.5374 1.6849 7.9047
0.8458 3.3699 5.3724
2.5374 1.6849 4.4267

---

Ca2MgF6 | the Alexandria database | GGA-PBE | optimized geometry; symmetry = I-42m (121); energy relative to the elements, uncorrected = -33.015 eV per formula unit; total magnetic moment = 0.00 Bohr magnetons per cell; density of states at the Fermi level = 0.0 states/eV per cell; density = 2.63 Mg/m³; electronic total energy = -5.538 eV per atom; relative energy among the computed polymorphs = 0.1044 eV/atom
1.0
4.0195 0.0000 -1.0270
-0.2624 4.0109 -1.0270
0.0366 0.0390 8.5227
F Mg Ca
6 1 2
Cartesian
1.1684 3.2831 0.1691
0.8264 3.0277 3.2344
0.7183 0.7668 6.7869
2.5008 2.6697 5.8125
3.1999 1.3802 0.1691
2.9673 1.0222 3.2344
1.8786 2.0055 -1.0270
3.1244 3.3354 3.8491
0.6693 0.7145 2.6197

---

CsCa2Se | the Alexandria database | GGA-PBE | optimized geometry; symmetry = I-42d (122); energy relative to the elements, uncorrected = -2.290 eV per formula unit; total magnetic moment = 0.00 Bohr magnetons per cell; density of states at the Fermi level = 7.4 states/eV per cell; density = 1.86 Mg/m³; electronic total energy = -2.658 eV per atom
1.0
8.9962 0.0000 0.0000
0.0000 8.9962 0.0000
4.4981 4.4981 6.4322
Ca Cs Se
4 2 2
Cartesian
11.2452 9.1181 4.8241
4.6200 2.2490 1.6080
4.3761 6.7471 1.6080
6.7471 8.8742 4.8241
8.9962 4.4981 3.2161
0.0000 0.0000 0.0000
4.4981 8.9962 3.2161
4.4981 4.4981 0.0000

---

YHoMgNi | the Alexandria database | GGA-PBE | optimized geometry; symmetry = F-43m (216); total magnetic moment = 0.00 Bohr magnetons per cell; density of states at the Fermi level = 3.0 states/eV per cell; density = 6.16 Mg/m³; electronic total energy = -4.726 eV per atom; relative energy among the computed polymorphs = 0.1313 eV/atom
1.0
5.0456 0.0000 0.0000
2.5228 4.3696 0.0000
2.5228 1.4565 4.1197
Mg Ho Y Ni
1 1 1 1
Cartesian
5.0456 2.9131 2.0598
7.5683 4.3696 3.0898
2.5228 1.4565 1.0299
0.0000 0.0000 0.0000

---

TiFeSnPt | the Alexandria database | GGA-PBE | optimized geometry; symmetry = F-43m (216); total magnetic moment = 1.78 Bohr magnetons per cell; density of states at the Fermi level = 2.2 states/eV per cell; density = 10.87 Mg/m³; electronic total energy = -7.012 eV per atom
1.0
-1.3797 4.1677 -0.9131
-3.1140 0.6909 -3.1517
-4.1270 1.3031 1.1734
Fe Ti Pt Sn
1 1 1 1
Cartesian
-2.1552 1.5404 -0.7229
-4.3103 3.0809 -1.4457
-6.4655 4.6213 -2.1686
0.0000 0.0000 0.0000